# V2ZnHRu, optimized geometry, DFT GGA-PBE
data_V2ZnHRu
_chemical_formula_sum 'V2 Zn1 H1 Ru1'
_space_group_name_H-M_alt 'P 4/m m m'
_space_group_IT_number 123
_space_group_name_Hall '-P 4 2'
_cell_length_a 3.757
_cell_length_b 3.757
_cell_length_c 3.987
_cell_angle_alpha 90.00
_cell_angle_beta 90.00
_cell_angle_gamma 90.00
loop_
_atom_site_label
_atom_site_type_symbol
_atom_site_fract_x
_atom_site_fract_y
_atom_site_fract_z
V1 V 0.000 0.500 0.000
Zn1 Zn 0.000 0.000 0.500
H1 H 0.000 0.000 0.000
Ru1 Ru 0.500 0.500 0.500
# - ΔE to the lowest computed polymorph: 0.059 eV/atom
# - Density: 7.95 g/cm3


# V2ZnHRu, optimized geometry, DFT GGA-PBE
data_V2ZnHRu
_chemical_formula_sum 'V2 Zn1 H1 Ru1'
_space_group_name_H-M_alt 'P 4/m m m'
_space_group_IT_number 123
_space_group_name_Hall '-P 4 2'
_cell_length_a 3.821
_cell_length_b 3.821
_cell_length_c 3.872
_cell_angle_alpha 90.00
_cell_angle_beta 90.00
_cell_angle_gamma 90.00
loop_
_atom_site_label
_atom_site_type_symbol
_atom_site_fract_x
_atom_site_fract_y
_atom_site_fract_z
V1 V 0.000 0.500 0.000
Zn1 Zn 0.000 0.000 0.500
H1 H 0.500 0.500 0.000
Ru1 Ru 0.500 0.500 0.500
# - ΔE to the lowest computed polymorph: 0.000 eV/atom
# - Density: 7.91 g/cm3


# ZrVHRu2, optimized geometry, DFT GGA-PBE
data_ZrVHRu2
_chemical_formula_sum 'Zr1 V1 H1 Ru2'
_space_group_name_H-M_alt 'P 4/m m m'
_space_group_IT_number 123
_space_group_name_Hall '-P 4 2'
_cell_length_a 4.222
_cell_length_b 4.222
_cell_length_c 3.661
_cell_angle_alpha 90.00
_cell_angle_beta 90.00
_cell_angle_gamma 90.00
loop_
_atom_site_label
_atom_site_type_symbol
_atom_site_fract_x
_atom_site_fract_y
_atom_site_fract_z
Zr1 Zr 0.000 0.000 0.000
V1 V 0.500 0.500 0.000
H1 H 0.500 0.500 0.500
Ru1 Ru 0.000 0.500 0.500
# - DFT total energy: -40.4 eV per formula unit
# - Density: 8.79 g/cm3